First-principles (PBE) data for TbPr8Tl6 after structural relaxation, as listed in Alexandria via LeMat-Bulk.

Summary:
calculated formation energy: -0.17 eV per atom
spin magnetization: 0.004 Bohr magnetons per cell
symmetry: R-3 (148)
energy: -59.670 eV/cell

Cell and atoms, written as POSCAR:
```
TbPr8Tl6
1.0
4.6911 2.7084 6.6918
-4.6911 2.7084 6.6918
0.0000 -5.4168 6.6918
Tb Pr Tl
1 8 6
direct
0.0000 0.0000 0.0000 Tb
0.1123 0.4500 0.7767 Pr
0.2233 0.8877 0.5500 Pr
0.3347 0.3347 0.3347 Pr
0.4500 0.7767 0.1123 Pr
0.5500 0.2233 0.8877 Pr
0.6653 0.6653 0.6653 Pr
0.7767 0.1123 0.4500 Pr
0.8877 0.5500 0.2233 Pr
0.0561 0.7313 0.3828 Tl
0.2687 0.6172 0.9439 Tl
0.3828 0.0561 0.7313 Tl
0.6172 0.9439 0.2687 Tl
0.7313 0.3828 0.0561 Tl
0.9439 0.2687 0.6172 Tl
```

***

First-principles (PBE) data for Tb5PrTl4 after structural relaxation, as listed in Alexandria via LeMat-Bulk.

Summary:
calculated formation energy: -0.28 eV per atom
spin magnetization: 0.142 Bohr magnetons per cell
symmetry: P4/mmm (123)
energy: -40.213 eV/cell

Cell and atoms, written as POSCAR:
```
Tb5PrTl4
1.0
3.6183 0.0000 0.0000
0.0000 3.6183 0.0000
0.0000 0.0000 22.1013
Tb Pr Tl
5 1 4
direct
0.0000 0.0000 0.0000 Tb
0.0000 0.0000 0.1915 Tb
0.0000 0.0000 0.3821 Tb
0.0000 0.0000 0.6179 Tb
0.0000 0.0000 0.8085 Tb
0.5000 0.5000 0.5000 Pr
0.5000 0.5000 0.0955 Tl
0.5000 0.5000 0.2875 Tl
0.5000 0.5000 0.7125 Tl
0.5000 0.5000 0.9045 Tl
```

***

First-principles (PBE) data for Tb12Pr5Tl2 after structural relaxation, as listed in Alexandria via LeMat-Bulk.

Summary:
calculated formation energy: 0.01 eV per atom
spin magnetization: 0.000 Bohr magnetons per cell
symmetry: C2/m (12)
energy: -83.989 eV/cell

Cell and atoms, written as POSCAR:
```
Tb12Pr5Tl2
1.0
7.7828 -4.7098 0.0000
7.7828 4.7098 0.0000
-0.3827 0.0000 8.4647
Tb Pr Tl
12 5 2
direct
0.0530 0.0530 0.3223 Tb
0.0668 0.6815 0.3353 Tb
0.1716 0.5383 0.7638 Tb
0.3185 0.9332 0.6647 Tb
0.4212 0.4212 0.1181 Tb
0.4617 0.8284 0.2362 Tb
0.5383 0.1716 0.7638 Tb
0.5788 0.5788 0.8819 Tb
0.6815 0.0668 0.3353 Tb
0.8284 0.4617 0.2362 Tb
0.9332 0.3185 0.6647 Tb
0.9470 0.9470 0.6777 Tb
0.1921 0.1921 0.0078 Pr
0.2659 0.2659 0.4197 Pr
0.5000 0.5000 0.5000 Pr
0.7341 0.7341 0.5803 Pr
0.8079 0.8079 0.9922 Pr
0.1851 0.8149 0.0000 Tl
0.8149 0.1851 0.0000 Tl
```

***

First-principles (PBE) data for Tb2Pr3Tl4 after structural relaxation, as listed in Alexandria via LeMat-Bulk.

Summary:
calculated formation energy: -0.31 eV per atom
spin magnetization: 0.000 Bohr magnetons per cell
symmetry: C2/m (12)
energy: -35.828 eV/cell

Cell and atoms, written as POSCAR:
```
Tb2Pr3Tl4
1.0
4.6979 -2.7190 0.0000
4.6979 2.7190 0.0000
-0.0298 0.0000 10.6045
Tb Pr Tl
2 3 4
direct
0.1670 0.1670 0.2801 Tb
0.8330 0.8330 0.7199 Tb
0.1666 0.1666 0.9204 Pr
0.5000 0.5000 0.5000 Pr
0.8334 0.8334 0.0796 Pr
0.1664 0.1664 0.6013 Tl
0.4999 0.4999 0.1571 Tl
0.5001 0.5001 0.8429 Tl
0.8336 0.8336 0.3987 Tl
```

***

First-principles (PBE) data for Tb2PrTl after structural relaxation, as listed in Alexandria via LeMat-Bulk.

Summary:
calculated formation energy: -0.01 eV per atom
spin magnetization: 6.317 Bohr magnetons per cell
energy above the most stable polymorph in this dataset: 176 meV per atom
symmetry: Fm-3m (225)
energy: -65.824 eV/cell

Cell and atoms, written as POSCAR:
```
Tb2PrTl
1.0
7.8259 0.0000 0.0000
0.0000 7.8259 0.0000
0.0000 0.0000 7.8259
Tb Pr Tl
8 4 4
direct
0.2500 0.2500 0.2500 Tb
0.2500 0.2500 0.7500 Tb
0.2500 0.7500 0.2500 Tb
0.2500 0.7500 0.7500 Tb
0.7500 0.2500 0.2500 Tb
0.7500 0.2500 0.7500 Tb
0.7500 0.7500 0.2500 Tb
0.7500 0.7500 0.7500 Tb
0.0000 0.0000 0.0000 Pr
0.0000 0.5000 0.5000 Pr
0.5000 0.0000 0.5000 Pr
0.5000 0.5000 0.0000 Pr
0.0000 0.0000 0.5000 Tl
0.0000 0.5000 0.0000 Tl
0.5000 0.0000 0.0000 Tl
0.5000 0.5000 0.5000 Tl
```

***

First-principles (PBE) data for Tb3Pr2Tl3 after structural relaxation, as listed in Alexandria via LeMat-Bulk.

Summary:
calculated formation energy: -0.25 eV per atom
spin magnetization: 0.001 Bohr magnetons per cell
symmetry: Immm (71)
energy: -65.162 eV/cell

Cell and atoms, written as POSCAR:
```
Tb3Pr2Tl3
1.0
4.5378 0.0000 0.0000
0.0000 4.9855 0.0000
0.0000 0.0000 20.7935
Tb Pr Tl
6 4 6
direct
0.0000 0.0000 0.0000 Tb
0.0000 0.5000 0.1165 Tb
0.0000 0.5000 0.8835 Tb
0.5000 0.0000 0.3835 Tb
0.5000 0.0000 0.6165 Tb
0.5000 0.5000 0.5000 Tb
0.0000 0.0000 0.2393 Pr
0.0000 0.0000 0.7607 Pr
0.5000 0.5000 0.2607 Pr
0.5000 0.5000 0.7393 Pr
0.0000 0.0000 0.5000 Tl
0.0000 0.5000 0.3771 Tl
0.0000 0.5000 0.6229 Tl
0.5000 0.0000 0.1229 Tl
0.5000 0.0000 0.8771 Tl
0.5000 0.5000 0.0000 Tl
```

***

First-principles (PBE) data for Tb6Pr3Tl after structural relaxation, as listed in Alexandria via LeMat-Bulk.

Summary:
calculated formation energy: 0.03 eV per atom
spin magnetization: 0.000 Bohr magnetons per cell
energy above the most stable polymorph in this dataset: 20 meV per atom
symmetry: Cmc2_1 (36)
energy: -88.448 eV/cell

Cell and atoms, written as POSCAR:
```
Tb6Pr3Tl
1.0
5.4312 -9.7350 0.0000
5.4312 9.7350 0.0000
0.0000 0.0000 6.2326
Tb Pr Tl
12 6 2
direct
0.0334 0.4363 0.9679 Tb
0.0601 0.9399 0.5000 Tb
0.2832 0.7168 0.2234 Tb
0.2893 0.3778 0.1209 Tb
0.3778 0.2893 0.6209 Tb
0.4363 0.0334 0.4679 Tb
0.5637 0.9666 0.9679 Tb
0.6222 0.7107 0.1209 Tb
0.7107 0.6222 0.6209 Tb
0.7168 0.2832 0.7234 Tb
0.9399 0.0601 0.0000 Tb
0.9666 0.5637 0.4679 Tb
0.0501 0.2810 0.5061 Pr
0.2810 0.0501 0.0061 Pr
0.3953 0.6047 0.6413 Pr
0.6047 0.3953 0.1413 Pr
0.7190 0.9499 0.5061 Pr
0.9499 0.7190 0.0061 Pr
0.2334 0.7666 0.7394 Tl
0.7666 0.2334 0.2394 Tl
```

***

First-principles (PBE) data for Tb2PrTl after structural relaxation, as listed in Alexandria via LeMat-Bulk.

Summary:
calculated formation energy: -0.10 eV per atom
spin magnetization: 0.001 Bohr magnetons per cell
energy above the most stable polymorph in this dataset: 85 meV per atom
symmetry: Cmcm (63)
energy: -67.279 eV/cell

Cell and atoms, written as POSCAR:
```
Tb2PrTl
1.0
4.6197 0.0000 0.0000
0.0000 12.6866 0.0000
0.0000 0.0000 8.8593
Tb Pr Tl
8 4 4
direct
0.0000 0.1358 0.0511 Tb
0.0000 0.1358 0.4489 Tb
0.0000 0.8642 0.5511 Tb
0.0000 0.8642 0.9489 Tb
0.5000 0.3642 0.5511 Tb
0.5000 0.3642 0.9489 Tb
0.5000 0.6358 0.0511 Tb
0.5000 0.6358 0.4489 Tb
0.0000 0.4423 0.2500 Pr
0.0000 0.5577 0.7500 Pr
0.5000 0.0577 0.7500 Pr
0.5000 0.9423 0.2500 Pr
0.0000 0.2653 0.7500 Tl
0.0000 0.7347 0.2500 Tl
0.5000 0.2347 0.2500 Tl
0.5000 0.7653 0.7500 Tl
```

***

First-principles (PBE) data for Tb3Pr2Tl after structural relaxation, as listed in Alexandria via LeMat-Bulk.

Summary:
calculated formation energy: -0.07 eV per atom
spin magnetization: 0.001 Bohr magnetons per cell
energy above the most stable polymorph in this dataset: 27 meV per atom
symmetry: Cmcm (63)
energy: -52.451 eV/cell

Cell and atoms, written as POSCAR:
```
Tb3Pr2Tl
1.0
8.7897 -3.1631 0.0000
8.7897 3.1631 0.0000
0.0000 0.0000 7.0379
Tb Pr Tl
6 4 2
direct
0.1724 0.8276 0.7500 Tb
0.3638 0.3638 0.0000 Tb
0.3638 0.3638 0.5000 Tb
0.6362 0.6362 0.0000 Tb
0.6362 0.6362 0.5000 Tb
0.8276 0.1724 0.2500 Tb
0.1613 0.2071 0.7500 Pr
0.2071 0.1613 0.2500 Pr
0.7929 0.8387 0.7500 Pr
0.8387 0.7929 0.2500 Pr
0.3084 0.6916 0.2500 Tl
0.6916 0.3084 0.7500 Tl
```

***

First-principles (PBE) data for Tb8Pr6Tl after structural relaxation, as listed in Alexandria via LeMat-Bulk.

Summary:
calculated formation energy: 0.07 eV per atom
spin magnetization: 0.000 Bohr magnetons per cell
symmetry: P-3 (147)
energy: -67.016 eV/cell

Cell and atoms, written as POSCAR:
```
Tb8Pr6Tl
1.0
9.5308 0.0000 0.0000
-4.7654 8.2539 0.0000
0.0000 0.0000 6.4721
Tb Pr Tl
8 6 1
direct
0.0402 0.7779 0.1868 Tb
0.2221 0.2623 0.1868 Tb
0.2623 0.0402 0.8132 Tb
0.3333 0.6667 0.1649 Tb
0.6667 0.3333 0.8351 Tb
0.7377 0.9598 0.1868 Tb
0.7779 0.7377 0.8132 Tb
0.9598 0.2221 0.8132 Tb
0.0907 0.6401 0.6828 Pr
0.3599 0.4506 0.6828 Pr
0.4506 0.0907 0.3172 Pr
0.5494 0.9093 0.6828 Pr
0.6401 0.5494 0.3172 Pr
0.9093 0.3599 0.3172 Pr
0.0000 0.0000 0.5000 Tl
```

***

- The lowest calculated formation energy belongs to which entry?
  Tb2Pr3Tl4

***

- The highest spin magnetization belongs to which entry?
  number 5

***

- energy of number 7 (Tb6Pr3Tl)?
  -88.448 eV/cell